(1)
TbSc2Cd2In2: optimized geometry, GGA-PBE.

Cell: 8.814 8.814 8.814 Å, 32.00 32.00 32.00°
Fractional positions:
Tb 0.000 0.000 0.000
Sc 0.136 0.136 0.136
Sc 0.864 0.864 0.864
Cd 0.434 0.434 0.434
Cd 0.566 0.566 0.566
In 0.264 0.264 0.264
In 0.736 0.736 0.736

Calculated values
- DFT formation energy (meV/atom) = -231
- raw total energy (Ry per atom) = -0.2753
- D(E_F) (states/eV/cell) = 5.267

(2)
Os8Se: optimized geometry, GGA-PBE.

Cell: 6.182 6.182 6.182 Å, 95.75 95.75 143.11°
Fractional positions:
Os 0.000 0.343 0.343
Os 0.000 0.657 0.657
Os 0.322 0.322 0.643
Os 0.322 0.678 0.000
Os 0.343 0.000 0.343
Os 0.657 0.000 0.657
Os 0.678 0.322 0.000
Os 0.678 0.678 0.357
Se 0.000 0.000 0.000

Calculated values
- raw total energy (Ry per atom) = -0.7318
- uncorrected formation energy (meV/atom) = 412.4
- D(E_F) (states/eV/cell) = 7.390

(3)
Nd6DyTm6: optimized geometry, GGA-PBE.

Cell: 6.717 6.717 11.394 Å, 90.00 90.00 120.00°
Fractional positions:
Nd 0.000 0.000 0.159
Nd 0.000 0.000 0.841
Nd 0.333 0.667 0.000
Nd 0.333 0.667 0.500
Nd 0.667 0.333 0.000
Nd 0.667 0.333 0.500
Dy 0.000 0.000 0.500
Tm 0.000 0.500 0.255
Tm 0.000 0.500 0.745
Tm 0.500 0.000 0.255
Tm 0.500 0.000 0.745
Tm 0.500 0.500 0.255
Tm 0.500 0.500 0.745

Calculated values
- DFT formation energy (meV/atom) = 261
- raw total energy (Ry per atom) = -0.3202
- D(E_F) (states/eV/cell) = 27.941

Q: Which value of D(E_F) does entry 2 give?
A: 7.390 states/eV/cell